[1]
The following is a DFT calculation (PBE) of an optimized crystal structure of CsNiW2.

Values from the calculation:
The value obtained for the energy above the most stable polymorph in this dataset is 0.0 kJ/mol of atoms. The value obtained for the electronic total energy is -6.24 eV per atom. The calculated formation energy comes out at 1.90 eV per atom. As for the space group: No. 122. The total magnetization is 0.0 μB per cell.

abc: 3.978 3.978 20.861
angles: 90.00 90.00 90.00
Sites, in units of the cell vectors:
Cs1 0.000 0.000 0.000
Cs2 0.000 0.500 0.250
Cs3 0.500 0.000 0.750
Cs4 0.500 0.500 0.500
Ni1 0.000 0.000 0.500
Ni2 0.000 0.500 0.750
Ni3 0.500 0.000 0.250
Ni4 0.500 0.500 0.000
W1 0.189 0.250 0.625
W2 0.250 0.689 0.875
W3 0.250 0.811 0.375
W4 0.311 0.250 0.125
W5 0.689 0.750 0.125
W6 0.750 0.189 0.375
W7 0.750 0.311 0.875
W8 0.811 0.750 0.625

***

[2]
The following is a DFT calculation (PBE) of an optimized crystal structure of La8DyY2.

Values from the calculation:
The value obtained for the energy above the most stable polymorph in this dataset is 0.0 kJ/mol of atoms. The value obtained for the electronic total energy is -5.07 eV per atom. The calculated formation energy comes out at 0.10 eV per atom. As for the space group: No. 71. The total magnetization is 0.0 μB per cell.

abc: 9.691 9.691 9.691
angles: 145.04 129.70 62.72
Sites, in units of the cell vectors:
La1 0.164 0.164 0.000
La2 0.168 0.367 0.801
La3 0.290 0.000 0.290
La4 0.434 0.633 0.801
La5 0.566 0.367 0.199
La6 0.710 0.000 0.710
La7 0.832 0.633 0.199
La8 0.836 0.836 0.000
Dy1 0.000 0.500 0.500
Y1 0.298 0.798 0.500
Y2 0.702 0.202 0.500